Model A:
! SrLiCa2 meta-GGA SCAN single point on PBEsol structure; values from VASP
! Calculated density = 1.89 Mg/m³
&SYSTEM
  ibrav = 0, nat = 4, ntyp = 3
/
ATOMIC_SPECIES
Sr 87.62 Sr.upf
Li 6.94 Li.upf
Ca 40.08 Ca.upf
CELL_PARAMETERS angstrom
4.1085 0.0000 0.0000
0.0000 4.1085 0.0000
0.0000 0.0000 9.1141
ATOMIC_POSITIONS angstrom
Sr 0.0000 0.0000 0.0000
Li 2.0543 2.0543 6.9576
Ca 0.0000 0.0000 5.1675
Ca 2.0543 2.0543 2.7279

=====

Model B:
! SrLiCa2 meta-GGA SCAN single point on PBEsol structure; values from VASP
! Calculated density = 1.83 Mg/m³
&SYSTEM
  ibrav = 0, nat = 4, ntyp = 3
/
ATOMIC_SPECIES
Sr 87.62 Sr.upf
Li 6.94 Li.upf
Ca 40.08 Ca.upf
CELL_PARAMETERS angstrom
3.8516 0.0000 0.0000
0.0000 5.7977 0.0000
-1.8593 0.0000 7.0882
ATOMIC_POSITIONS angstrom
Sr 0.0000 0.0000 0.0000
Li 0.9962 0.0000 3.5441
Ca -0.1029 2.8989 5.1851
Ca 2.0953 2.8989 1.9031

=====

Ranked by calculated energy, most stable first: model A, model B.